1.
# Zn2NiRu (PBE, optimized geometry)
data_Zn2NiRu
_symmetry_space_group_name_H-M 'C 1 m 1'
_symmetry_Int_Tables_number 8
_symmetry_space_group_name_Hall 'C -2y'
_cell_length_a 9.7593
_cell_length_b 2.6363
_cell_length_c 4.5924
_cell_angle_alpha 90.00
_cell_angle_beta 116.58
_cell_angle_gamma 90.00
loop_
_atom_site_label
_atom_site_type_symbol
_atom_site_fract_x
_atom_site_fract_y
_atom_site_fract_z
_atom_site_occupancy
Zn1 Zn 0.0000 0.0000 0.0000 1
Zn2 Zn 0.2382 0.0000 0.5844 1
Ni1 Ni 0.4924 0.0000 0.5056 1
Ru1 Ru 0.2556 0.5000 0.0980 1
# M_tot (μB/cell): 0.00
# Energy of formation from the pure elements (eV per atom): -0.0564
# Calculated total energy (eV per atom): -4.46

***

2.
# ErTlPdF6 (PBE, optimized geometry)
data_ErTlPdF6
_symmetry_space_group_name_H-M 'P 1'
_symmetry_Int_Tables_number 1
_symmetry_space_group_name_Hall 'P 1'
_cell_length_a 5.8381
_cell_length_b 5.8566
_cell_length_c 5.9835
_cell_angle_alpha 92.58
_cell_angle_beta 92.58
_cell_angle_gamma 113.36
loop_
_atom_site_label
_atom_site_type_symbol
_atom_site_fract_x
_atom_site_fract_y
_atom_site_fract_z
_atom_site_occupancy
Er1 Er 0.0000 0.0000 0.0000 1
Tl1 Tl 0.6720 0.3274 0.4998 1
Pd1 Pd 0.3439 0.6560 0.9996 1
F1 F 0.0293 0.6517 0.8433 1
F2 F 0.2966 0.3210 0.8535 1
F3 F 0.3499 0.9708 0.1548 1
F4 F 0.6795 0.7027 0.1467 1
F5 F 0.7603 0.0094 0.7388 1
F6 F 0.9918 0.2376 0.2629 1
# M_tot (μB/cell): 0.07
# Uncorrected formation energy (eV per atom): -2.58
# Calculated total energy (eV per atom): -5.17

***

3.
# Cs5Pr2Br12 (PBE, optimized geometry)
data_Cs5Pr2Br12
_symmetry_space_group_name_H-M 'C 1 2/m 1'
_symmetry_Int_Tables_number 12
_symmetry_space_group_name_Hall '-C 2y'
_cell_length_a 17.6867
_cell_length_b 10.6224
_cell_length_c 9.0907
_cell_angle_alpha 90.00
_cell_angle_beta 101.72
_cell_angle_gamma 90.00
loop_
_atom_site_label
_atom_site_type_symbol
_atom_site_fract_x
_atom_site_fract_y
_atom_site_fract_z
_atom_site_occupancy
Cs1 Cs 0.0000 0.0000 0.0000 1
Cs2 Cs 0.1367 0.5000 0.0226 1
Cs3 Cs 0.2502 0.0000 0.5013 1
Pr1 Pr 0.0000 0.2488 0.5000 1
Br1 Br 0.0365 0.5000 0.3360 1
Br2 Br 0.0762 0.0000 0.6545 1
Br3 Br 0.1037 0.2009 0.2816 1
Br4 Br 0.1475 0.3029 0.7168 1
# M_tot (μB/cell): 0.00
# Uncorrected formation energy (eV per atom): -1.69
# Calculated total energy (eV per atom): -3.48

***

4.
# Pd6Pt5Au (PBE, optimized geometry)
data_Pd6Pt5Au
_symmetry_space_group_name_H-M 'C 1 2/m 1'
_symmetry_Int_Tables_number 12
_symmetry_space_group_name_Hall '-C 2y'
_cell_length_a 3.9811
_cell_length_b 11.8820
_cell_length_c 7.9415
_cell_angle_alpha 90.00
_cell_angle_beta 90.15
_cell_angle_gamma 90.00
loop_
_atom_site_label
_atom_site_type_symbol
_atom_site_fract_x
_atom_site_fract_y
_atom_site_fract_z
_atom_site_occupancy
Pd1 Pd 0.9999 0.0000 0.2481 1
Pd2 Pd 0.0002 0.3325 0.2479 1
Pt1 Pt 0.0000 0.1656 0.0000 1
Pt2 Pt 0.0000 0.1695 0.5000 1
Pt3 Pt 0.0000 0.5000 0.0000 1
Au1 Au 0.0000 0.5000 0.5000 1
# M_tot (μB/cell): 0.00
# Energy of formation from the pure elements (eV per atom): -0.0194
# Calculated total energy (eV per atom): -5.41

***

5.
# TiB3Te (PBE, optimized geometry)
data_TiB3Te
_symmetry_space_group_name_H-M 'P m -3 m'
_symmetry_Int_Tables_number 221
_symmetry_space_group_name_Hall '-P 4 2 3'
_cell_length_a 4.3435
_cell_length_b 4.3435
_cell_length_c 4.3435
_cell_angle_alpha 90.00
_cell_angle_beta 90.00
_cell_angle_gamma 90.00
loop_
_atom_site_label
_atom_site_type_symbol
_atom_site_fract_x
_atom_site_fract_y
_atom_site_fract_z
_atom_site_occupancy
Ti1 Ti 0.0000 0.0000 0.0000 1
B1 B 0.0000 0.5000 0.5000 1
Te1 Te 0.5000 0.5000 0.5000 1
# M_tot (μB/cell): 0.01
# ΔE to the lowest computed polymorph (meV/atom): 591
# Uncorrected formation energy (eV per atom): 2.17
# Calculated total energy (eV per atom): -4.04

***

6.
# Ac2MgSi4Au3 (PBE, optimized geometry)
data_Ac2MgSi4Au3
_symmetry_space_group_name_H-M 'P -4 m 2'
_symmetry_Int_Tables_number 115
_symmetry_space_group_name_Hall 'P -4 -2'
_cell_length_a 4.4833
_cell_length_b 4.4833
_cell_length_c 10.5989
_cell_angle_alpha 90.00
_cell_angle_beta 90.00
_cell_angle_gamma 90.00
loop_
_atom_site_label
_atom_site_type_symbol
_atom_site_fract_x
_atom_site_fract_y
_atom_site_fract_z
_atom_site_occupancy
Ac1 Ac 0.0000 0.5000 0.2416 1
Mg1 Mg 0.0000 0.0000 0.5000 1
Si1 Si 0.0000 0.0000 0.0000 1
Si2 Si 0.0000 0.5000 0.6406 1
Si3 Si 0.5000 0.5000 0.0000 1
Au1 Au 0.0000 0.5000 0.8813 1
Au2 Au 0.5000 0.5000 0.5000 1
# M_tot (μB/cell): 0.00
# Uncorrected formation energy (eV per atom): -0.57
# Calculated total energy (eV per atom): -4.71

***

7.
# Ce2Dy5Er12 (PBE, optimized geometry)
data_Ce2Dy5Er12
_symmetry_space_group_name_H-M 'C 1 2/m 1'
_symmetry_Int_Tables_number 12
_symmetry_space_group_name_Hall '-C 2y'
_cell_length_a 15.3344
_cell_length_b 9.1398
_cell_length_c 8.5220
_cell_angle_alpha 90.00
_cell_angle_beta 92.54
_cell_angle_gamma 90.00
loop_
_atom_site_label
_atom_site_type_symbol
_atom_site_fract_x
_atom_site_fract_y
_atom_site_fract_z
_atom_site_occupancy
Ce1 Ce 0.0000 0.1486 0.0000 1
Dy1 Dy 0.0000 0.5000 0.5000 1
Dy2 Dy 0.2142 0.0000 0.0375 1
Dy3 Dy 0.2309 0.5000 0.5648 1
Er1 Er 0.0592 0.0000 0.3415 1
Er2 Er 0.0678 0.5000 0.8710 1
Er3 Er 0.1324 0.1911 0.6841 1
Er4 Er 0.1451 0.3210 0.2381 1
# M_tot (μB/cell): 0.00
# Energy of formation from the pure elements (eV per atom): 0.1425
# ΔE to the lowest computed polymorph (meV/atom): 39
# Calculated total energy (eV per atom): -4.58

***

8.
# Zr2CuAu (PBE, optimized geometry)
data_Zr2CuAu
_symmetry_space_group_name_H-M 'P 4/m m m'
_symmetry_Int_Tables_number 123
_symmetry_space_group_name_Hall '-P 4 2'
_cell_length_a 4.3293
_cell_length_b 4.3293
_cell_length_c 4.0097
_cell_angle_alpha 90.00
_cell_angle_beta 90.00
_cell_angle_gamma 90.00
loop_
_atom_site_label
_atom_site_type_symbol
_atom_site_fract_x
_atom_site_fract_y
_atom_site_fract_z
_atom_site_occupancy
Zr1 Zr 0.0000 0.5000 0.0000 1
Cu1 Cu 0.0000 0.0000 0.5000 1
Au1 Au 0.5000 0.5000 0.5000 1
# M_tot (μB/cell): 0.01
# Energy of formation from the pure elements (eV per atom): -0.2727
# Calculated total energy (eV per atom): -6.39

***

Among the records above, which one has the highest M_tot? ErTlPdF6